Entry a
Material: VTcRh
Method: DFT, GGA-PBE
State: relaxed

a b c (Å): 2.9414 12.7363 4.4932
angles (deg): 90.00 90.00 90.00
Positions (direct):
Rh 0.0000 0.0000 0.4593
Rh 0.0000 0.5000 0.9593
Rh 0.5000 0.0000 0.9595
Rh 0.5000 0.5000 0.4595
Tc 0.5000 0.8276 0.6013
Tc 0.5000 0.1724 0.6013
Tc 0.5000 0.3276 0.1013
Tc 0.5000 0.6724 0.1013
V 0.0000 0.6658 0.6000
V 0.0000 0.3342 0.6000
V 0.0000 0.1658 0.1000
V 0.0000 0.8342 0.1000

Properties
M_tot: 0.000 μB per atom
space-group type: No. 38

=====

Entry b
Material: VTcRh
Method: DFT, GGA-PBE
State: relaxed

a b c (Å): 4.1876 7.5757 5.3254
angles (deg): 90.00 90.00 90.00
Positions (direct):
Rh 0.0000 0.1733 0.2500
Rh 0.0000 0.8267 0.7500
Rh 0.5000 0.6733 0.2500
Rh 0.5000 0.3267 0.7500
Tc 0.0000 0.5000 0.0000
Tc 0.0000 0.5000 0.5000
Tc 0.5000 0.0000 0.0000
Tc 0.5000 0.0000 0.5000
V 0.0000 0.8513 0.2500
V 0.0000 0.1487 0.7500
V 0.5000 0.3513 0.2500
V 0.5000 0.6487 0.7500

Properties
M_tot: 0.000 μB per atom
space-group type: No. 63

=====

Of them, the most stable is entry a and the least stable is entry b.

=====

Entry a
Material: VTcRh
Method: DFT, GGA-PBE
State: relaxed

a b c (Å): 2.6843 5.1117 6.5753
angles (deg): 77.27 78.28 75.65
Positions (direct):
Rh 0.1427 0.2410 0.4889
Rh 0.8573 0.7590 0.5111
Tc 0.4120 0.3970 0.8286
Tc 0.5880 0.6030 0.1714
V 0.0486 0.0953 0.1575
V 0.9514 0.9047 0.8425

Properties
M_tot: 0.000 μB per atom
space-group type: No. 2

=====

Entry b
Material: VTcRh
Method: DFT, GGA-PBE
State: relaxed

a b c (Å): 2.6683 2.6683 6.2251
angles (deg): 102.38 102.38 90.00
Positions (direct):
Rh 0.6144 0.6144 0.2289
Tc 0.2811 0.2811 0.5622
V 0.9545 0.9545 0.9089

Properties
M_tot: 0.000 μB per atom
space-group type: No. 107

=====

Entry c
Material: VTcRh
Method: DFT, GGA-PBE
State: relaxed

a b c (Å): 5.3285 3.9162 8.3627
angles (deg): 90.00 104.45 90.00
Positions (direct):
Rh 0.8257 0.0000 0.1767
Rh 0.1743 0.0000 0.8233
Rh 0.8257 0.5000 0.6767
Rh 0.1743 0.5000 0.3233
Tc 0.5000 0.0000 0.5000
Tc 0.5000 0.5000 0.0000
Tc 0.0000 0.5000 0.0000
Tc 0.0000 0.0000 0.5000
V 0.6845 0.0000 0.8510
V 0.3155 0.0000 0.1490
V 0.6845 0.5000 0.3510
V 0.3155 0.5000 0.6490

Properties
M_tot: 0.000 μB per atom
space-group type: No. 12

=====

Entry d
Material: VTcRh
Method: DFT, GGA-PBE
State: relaxed

a b c (Å): 4.2041 13.3163 3.0171
angles (deg): 90.00 90.00 90.00
Positions (direct):
Rh 0.0000 0.7736 0.2500
Rh 0.0000 0.2264 0.7500
Rh 0.5000 0.2736 0.2500
Rh 0.5000 0.7264 0.7500
Tc 0.0000 0.4173 0.2500
Tc 0.0000 0.5827 0.7500
Tc 0.5000 0.9173 0.2500
Tc 0.5000 0.0827 0.7500
V 0.0000 0.0781 0.2500
V 0.0000 0.9219 0.7500
V 0.5000 0.5781 0.2500
V 0.5000 0.4219 0.7500

Properties
M_tot: 0.000 μB per atom
space-group type: No. 63

=====

Of them, the most stable is entry d and the least stable is entry b.

=====

Entry a
Material: VTcRh
Method: DFT, GGA-PBE
State: relaxed

a b c (Å): 6.6657 2.9291 4.6291
angles (deg): 90.00 110.00 90.00
Positions (direct):
Rh 0.4075 0.0000 0.8801
Rh 0.4075 0.5000 0.3801
Tc 0.0482 0.0000 0.3626
Tc 0.0482 0.5000 0.8626
V 0.7349 0.0000 0.7020
V 0.7349 0.5000 0.2020

Properties
M_tot: 0.000 μB per atom
space-group type: No. 8

=====

Entry b
Material: VTcRh
Method: DFT, GGA-PBE
State: relaxed

a b c (Å): 4.4777 2.9213 6.5375
angles (deg): 90.00 99.70 90.00
Positions (direct):
Rh 0.0000 0.0000 0.5000
Rh 0.5000 0.5000 0.5000
Tc 0.2219 0.5000 0.8464
Tc 0.7781 0.5000 0.1536
V 0.2802 0.0000 0.1687
V 0.7198 0.0000 0.8313

Properties
M_tot: 0.000 μB per atom
space-group type: No. 10

=====

Entry c
Material: VTcRh
Method: DFT, GGA-PBE
State: relaxed

a b c (Å): 2.6082 4.3677 4.3677
angles (deg): 120.00 90.00 90.00
Positions (direct):
Rh 0.1666 0.0000 0.0000
Tc 0.1672 0.3333 0.6667
V 0.6662 0.6667 0.3333

Properties
M_tot: 0.002 μB per atom
space-group type: No. 187

=====

Entry d
Material: VTcRh
Method: DFT, GGA-PBE
State: relaxed

a b c (Å): 2.7137 4.8763 6.5531
angles (deg): 79.75 83.66 84.34
Positions (direct):
Rh 0.8825 0.8302 0.3091
Rh 0.3954 0.3332 0.3073
Tc 0.7964 0.4292 0.6485
Tc 0.4360 0.0737 0.9673
V 0.9344 0.5833 0.9758
V 0.2760 0.9288 0.6412

Properties
M_tot: 0.000 μB per atom
space-group type: No. 1

=====

Of them, the most stable is entry b and the least stable is entry c.

=====

Entry a
Material: Tc2RhW
Method: DFT, GGA-PBE
State: relaxed

a b c (Å): 4.2518 2.7069 5.4559
angles (deg): 73.24 90.00 90.00
Positions (direct):
Rh 0.5000 0.6627 0.7413
Tc 0.0000 0.0076 0.0133
Tc 0.5000 0.3568 0.2414
W 0.0000 0.4730 0.5040

Properties
M_tot: 0.000 μB per atom
space-group type: No. 6

=====

Entry b
Material: Tc2RhW
Method: DFT, GGA-PBE
State: relaxed

a b c (Å): 4.7890 4.7890 4.7890
angles (deg): 132.03 132.02 70.19
Positions (direct):
Rh 0.2500 0.7500 0.5000
Tc 0.0000 0.0000 0.0000
Tc 0.5000 0.5000 0.0000
W 0.7500 0.2500 0.5000

Properties
M_tot: 0.000 μB per atom
space-group type: No. 139

=====

Of them, the most stable is entry b and the least stable is entry a.

=====

Entry a
Material: Tc2RhW
Method: DFT, GGA-PBE
State: relaxed

a b c (Å): 3.8726 3.8730 3.9473
angles (deg): 90.00 90.00 90.00
Positions (direct):
Rh 0.0000 0.5000 0.5000
Tc 0.0000 0.0000 0.0000
Tc 0.5000 0.5000 0.0000
W 0.5000 0.0000 0.5000

Properties
M_tot: 0.000 μB per atom
space-group type: No. 123

=====

Entry b
Material: Tc2RhW
Method: DFT, GGA-PBE
State: relaxed

a b c (Å): 2.7689 2.7689 7.7675
angles (deg): 90.00 90.00 89.99
Positions (direct):
Rh 0.5000 0.5000 0.7501
Tc 0.0000 0.0000 0.0069
Tc 0.5000 0.5000 0.2417
W 0.0000 0.0000 0.5012

Properties
M_tot: 0.000 μB per atom
space-group type: No. 99

=====

Entry c
Material: Tc2RhW
Method: DFT, GGA-PBE
State: relaxed

a b c (Å): 4.4125 4.4125 4.4215
angles (deg): 60.07 60.07 60.00
Positions (direct):
Tc 0.0142 0.0142 0.9575
Tc 0.2507 0.2507 0.2480
Rh 0.7343 0.7343 0.7970
W 0.5008 0.5008 0.4975

Properties
M_tot: 0.000 μB per atom
space-group type: No. 160

=====

Of them, the most stable is entry a and the least stable is entry c.

=====

Entry a
Material: Tc2RhW
Method: DFT, GGA-PBE
State: relaxed

a b c (Å): 4.7619 4.7619 4.8150
angles (deg): 80.69 80.69 33.58
Positions (direct):
Rh 0.2500 0.2500 0.2500
Tc 0.9974 0.9974 0.0062
Tc 0.5026 0.5026 0.4938
W 0.7500 0.7500 0.7500

Properties
M_tot: 0.000 μB per atom
space-group type: No. 12

=====

Entry b
Material: Tc2RhW
Method: DFT, GGA-PBE
State: relaxed

a b c (Å): 3.2350 3.2350 5.7614
angles (deg): 90.00 90.00 90.00
Positions (direct):
Rh 0.5000 0.5000 0.7500
Tc 0.0000 0.0000 0.0035
Tc 0.0000 0.0000 0.4965
W 0.5000 0.5000 0.2500

Properties
M_tot: 0.047 μB per atom
space-group type: No. 123

=====

Entry c
Material: Tc2RhW
Method: DFT, GGA-PBE
State: relaxed

a b c (Å): 3.2652 3.2652 5.6654
angles (deg): 90.00 90.00 90.00
Positions (direct):
Rh 0.5000 0.5000 0.7366
Tc 0.0000 0.0000 0.0100
Tc 0.5000 0.5000 0.2396
W 0.0000 0.0000 0.5137

Properties
M_tot: 0.000 μB per atom
space-group type: No. 99

=====

Entry d
Material: Tc2RhW
Method: DFT, GGA-PBE
State: relaxed

a b c (Å): 4.7685 4.7685 4.7685
angles (deg): 131.65 131.65 70.78
Positions (direct):
Rh 0.7500 0.2500 0.5000
Tc 0.0000 0.0000 0.0000
Tc 0.2500 0.7500 0.5000
W 0.5000 0.5000 0.0000

Properties
M_tot: 0.000 μB per atom
space-group type: No. 119

=====

Of them, the most stable is entry d and the least stable is entry b.

=====

Entry a
Material: TcRh2W
Method: DFT, GGA-PBE
State: relaxed

a b c (Å): 4.3864 4.3864 4.3864
angles (deg): 60.00 60.00 60.00
Positions (direct):
Rh 0.0000 0.0000 0.0000
Rh 0.2500 0.2500 0.2500
Tc 0.5000 0.5000 0.5000
W 0.7500 0.7500 0.7500

Properties
M_tot: 0.000 μB per atom
space-group type: No. 216

=====

Entry b
Material: TcRh2W
Method: DFT, GGA-PBE
State: relaxed

a b c (Å): 3.2505 3.2505 5.6586
angles (deg): 90.00 90.00 90.00
Positions (direct):
Rh 0.0000 0.0000 0.9937
Rh 0.5000 0.5000 0.2528
Tc 0.0000 0.0000 0.4953
W 0.5000 0.5000 0.7583

Properties
M_tot: 0.000 μB per atom
space-group type: No. 99

=====

Of them, the most stable is entry b and the least stable is entry a.

=====

Entry a
Material: TcRhW
Method: DFT, GGA-PBE
State: relaxed

a b c (Å): 6.2361 6.2359 2.7509
angles (deg): 77.26 77.25 25.48
Positions (direct):
Rh 0.0026 0.0026 0.9974
Tc 0.6633 0.6633 0.3367
W 0.3341 0.3341 0.6659

Properties
M_tot: 0.000 μB per atom
space-group type: No. 107

=====

Entry b
Material: TcRhW
Method: DFT, GGA-PBE
State: relaxed

a b c (Å): 5.0251 5.0251 5.0251
angles (deg): 142.75 142.75 53.70
Positions (direct):
Rh 0.0062 0.0062 0.0000
Tc 0.3192 0.3192 0.0000
W 0.6747 0.6747 0.0000

Properties
M_tot: 0.005 μB per atom
space-group type: No. 107

=====

Of them, the most stable is entry a and the least stable is entry b.

=====

Entry a
Material: TcRhW
Method: DFT, GGA-PBE
State: relaxed

a b c (Å): 4.4202 4.4202 2.6854
angles (deg): 90.00 90.00 120.00
Positions (direct):
Rh 0.0000 0.0000 0.8608
Tc 0.6667 0.3333 0.3548
W 0.3333 0.6667 0.7845

Properties
M_tot: 0.000 μB per atom
space-group type: No. 156

=====

Entry b
Material: TcRhW
Method: DFT, GGA-PBE
State: relaxed

a b c (Å): 4.2126 4.2126 4.2126
angles (deg): 60.00 60.00 60.00
Positions (direct):
Rh 0.0000 0.0000 0.0000
Tc 0.5000 0.5000 0.5000
W 0.7500 0.7500 0.7500

Properties
M_tot: 0.000 μB per atom
space-group type: No. 216

=====

Of them, the most stable is entry a and the least stable is entry b.

=====

Entry a
Material: TcRhW
Method: DFT, GGA-PBE
State: relaxed

a b c (Å): 4.8339 4.8339 4.8339
angles (deg): 147.59 131.48 59.56
Positions (direct):
Rh 0.9992 0.9992 0.0000
Tc 0.3341 0.3341 0.0000
W 0.6667 0.6667 0.0000

Properties
M_tot: 0.000 μB per atom
space-group type: No. 44

=====

Entry b
Material: TcRhW
Method: DFT, GGA-PBE
State: relaxed

a b c (Å): 2.7349 5.2929 7.3794
angles (deg): 117.84 90.00 104.97
Positions (direct):
W 0.0896 0.1791 0.8091
W 0.9104 0.8209 0.1909
Tc 0.3532 0.7065 0.4732
Tc 0.6468 0.2935 0.5268
Rh 0.3625 0.7250 0.8461
Rh 0.6375 0.2750 0.1539

Properties
M_tot: 0.000 μB per atom
space-group type: No. 12

=====

Of them, the most stable is entry b and the least stable is entry a.